i) The following is a DFT calculation (PBE) of crystalline K2Ag2F7 at its relaxed geometry.

Cell lengths 6.478, 4.695, 12.928 Å; angles 90.00, 90.00, 86.13 degrees
Site moments in Bohr magnetons follow the coordinates.
Atoms (fractional coordinates):
K: 0.589 0.709 0.132  0.00
K: 0.411 0.791 0.632  0.00
K: 0.411 0.291 0.868  0.00
K: 0.589 0.209 0.368  0.00
Ag: 0.908 0.792 0.883  0.23
Ag: 0.092 0.208 0.117  0.23
Ag: 0.908 0.292 0.617  0.23
Ag: 0.092 0.708 0.383  0.23
F: 0.000 0.000 0.500  -0.01
F: 0.000 0.500 0.000  -0.01
F: 0.386 0.238 0.072  0.06
F: 0.614 0.262 0.572  0.06
F: 0.614 0.762 0.928  0.06
F: 0.386 0.738 0.428  0.06
F: 0.205 0.314 0.661  0.06
F: 0.205 0.814 0.839  0.06
F: 0.795 0.186 0.161  0.06
F: 0.795 0.686 0.339  0.06
F: 0.813 0.157 0.806  0.11
F: 0.813 0.657 0.694  0.11
F: 0.187 0.343 0.306  0.11
F: 0.187 0.843 0.194  0.11



ii) The following is a DFT calculation (PBE) of crystalline K2Ag2F7 at its relaxed geometry.

Cell lengths 6.020, 6.273, 6.742 Å; angles 74.63, 79.15, 78.37 degrees
Site moments in Bohr magnetons follow the coordinates.
Atoms (fractional coordinates):
K: 0.688 0.503 0.708  0.00
K: 0.312 0.497 0.292  0.00
Ag: 0.702 0.921 0.193  0.26
Ag: 0.298 0.079 0.807  0.26
F: 0.130 0.384 0.691  0.07
F: 0.473 0.780 0.937  0.06
F: 0.870 0.616 0.309  0.07
F: 0.527 0.220 0.063  0.06
F: 0.000 0.000 0.000  -0.01
F: 0.428 0.833 0.404  0.12
F: 0.572 0.167 0.596  0.12



Energetically preferred structure: ii) | next structure: +7 meV per atom